Record 1
! PuGaIrRh, relaxed, DFT PBE; values from VASP
&SYSTEM
  ibrav = 0, nat = 4, ntyp = 4
/
ATOMIC_SPECIES
Pu 244.00 Pu.upf
Ga 69.72 Ga.upf
Ir 192.22 Ir.upf
Rh 102.91 Rh.upf
CELL_PARAMETERS angstrom
0.000 3.260 3.260
3.260 0.000 3.260
3.260 3.260 0.000
ATOMIC_POSITIONS crystal
Pu 0.000 0.000 0.000
Ga 0.500 0.500 0.500
Ir 0.250 0.250 0.250
Rh 0.750 0.750 0.750
! Formation energy from the elements = -0.466 eV per atom
! DOS at the Fermi energy = 6.43 states/eV per cell
! Symmetry = F-43m



Record 2
! PuGa4IrRu2, relaxed, DFT PBE; values from VASP
&SYSTEM
  ibrav = 0, nat = 8, ntyp = 4
/
ATOMIC_SPECIES
Pu 244.00 Pu.upf
Ga 69.72 Ga.upf
Ir 192.22 Ir.upf
Ru 101.07 Ru.upf
CELL_PARAMETERS angstrom
2.132 1.231 8.573
-2.132 1.231 8.573
0.000 -2.462 8.573
ATOMIC_POSITIONS crystal
Pu 0.000 0.000 0.000
Ga 0.130 0.130 0.130
Ga 0.400 0.400 0.400
Ga 0.600 0.600 0.600
Ga 0.870 0.870 0.870
Ir 0.500 0.500 0.500
Ru 0.236 0.236 0.236
Ru 0.764 0.764 0.764
! Formation energy from the elements = -0.293 eV per atom
! DOS at the Fermi energy = 16.65 states/eV per cell
! Symmetry = R-3m



Record 3
! PuGaSiIr, relaxed, DFT PBE; values from VASP
&SYSTEM
  ibrav = 0, nat = 4, ntyp = 4
/
ATOMIC_SPECIES
Pu 244.00 Pu.upf
Ga 69.72 Ga.upf
Si 28.09 Si.upf
Ir 192.22 Ir.upf
CELL_PARAMETERS angstrom
2.104 1.215 5.052
-2.104 1.215 5.052
0.000 -2.429 5.052
ATOMIC_POSITIONS crystal
Pu 0.000 0.000 0.000
Ga 0.211 0.211 0.211
Si 0.448 0.448 0.448
Ir 0.805 0.805 0.805
! DOS at the Fermi energy = 10.44 states/eV per cell
! Formation energy without anion corrections = -0.516 eV/atom
! Symmetry = R3m